! ZnMo2 (PBE, relaxed); values from VASP
! final energy	-7.412	eV/atom
! space group	No. 12
! ρ	9.16	g/cm3
! distance to the lowest polymorph of the same formula	0.164	eV/atom
! calculated volume	46.6	Å³/f.u.
&SYSTEM
  ibrav = 0, nat = 6, ntyp = 2
/
ATOMIC_SPECIES
Zn 65.41 Zn.upf
Mo 95.94 Mo.upf
CELL_PARAMETERS angstrom
5.361 -1.313 0.000
5.361 1.313 0.000
-1.539 0.000 6.621
ATOMIC_POSITIONS crystal
Zn 0.203 0.203 0.142
Zn 0.797 0.797 0.858
Mo 0.137 0.137 0.521
Mo 0.475 0.475 0.185
Mo 0.525 0.525 0.815
Mo 0.863 0.863 0.479

***

! Zn3Mo (PBE, relaxed); values from VASP
! final energy	-3.626	eV/atom
! space group	No. 65
! ρ	8.14	g/cm3
! calculated volume	59.6	Å³/f.u.
&SYSTEM
  ibrav = 0, nat = 4, ntyp = 2
/
ATOMIC_SPECIES
Zn 65.41 Zn.upf
Mo 95.94 Mo.upf
CELL_PARAMETERS angstrom
2.715 -4.011 0.000
2.715 4.011 0.000
0.000 0.000 2.735
ATOMIC_POSITIONS crystal
Zn 0.000 0.000 0.000
Zn 0.000 0.500 0.500
Zn 0.500 0.000 0.500
Mo 0.500 0.500 0.000

***

! ZnMo2 (PBE, relaxed); values from VASP
! final energy	-7.540	eV/atom
! space group	No. 139
! ρ	9.23	g/cm3
! distance to the lowest polymorph of the same formula	0.036	eV/atom
! calculated volume	46.3	Å³/f.u.
&SYSTEM
  ibrav = 0, nat = 3, ntyp = 2
/
ATOMIC_SPECIES
Zn 65.41 Zn.upf
Mo 95.94 Mo.upf
CELL_PARAMETERS angstrom
-1.655 1.655 4.226
1.655 -1.655 4.226
1.655 1.655 -4.226
ATOMIC_POSITIONS crystal
Zn 0.000 0.000 0.000
Mo 0.328 0.328 0.000
Mo 0.672 0.672 0.000

***

! ZnMo2 (PBE, relaxed); values from VASP
! final energy	-7.094	eV/atom
! space group	No. 227
! ρ	8.44	g/cm3
! distance to the lowest polymorph of the same formula	0.482	eV/atom
! calculated volume	50.6	Å³/f.u.
&SYSTEM
  ibrav = 0, nat = 6, ntyp = 2
/
ATOMIC_SPECIES
Zn 65.41 Zn.upf
Mo 95.94 Mo.upf
CELL_PARAMETERS angstrom
0.000 3.699 3.699
3.699 0.000 3.699
3.699 3.699 0.000
ATOMIC_POSITIONS crystal
Zn 0.125 0.125 0.125
Zn 0.875 0.875 0.875
Mo 0.000 0.500 0.500
Mo 0.500 0.000 0.500
Mo 0.500 0.500 0.000
Mo 0.500 0.500 0.500

***

! ZnMo2 (PBE, relaxed); values from VASP
! final energy	-7.433	eV/atom
! space group	No. 139
! ρ	9.23	g/cm3
! distance to the lowest polymorph of the same formula	0.143	eV/atom
! calculated volume	46.3	Å³/f.u.
&SYSTEM
  ibrav = 0, nat = 3, ntyp = 2
/
ATOMIC_SPECIES
Zn 65.41 Zn.upf
Mo 95.94 Mo.upf
CELL_PARAMETERS angstrom
-1.321 1.321 6.630
1.321 -1.321 6.630
1.321 1.321 -6.630
ATOMIC_POSITIONS crystal
Zn 0.000 0.000 0.000
Mo 0.338 0.338 0.000
Mo 0.662 0.662 0.000

***

! Zn3Mo (PBE, relaxed); values from VASP
! final energy	-3.469	eV/atom
! space group	No. 139
! ρ	8.19	g/cm3
! calculated volume	59.2	Å³/f.u.
&SYSTEM
  ibrav = 0, nat = 4, ntyp = 2
/
ATOMIC_SPECIES
Zn 65.41 Zn.upf
Mo 95.94 Mo.upf
CELL_PARAMETERS angstrom
-1.898 1.898 4.111
1.898 -1.898 4.111
1.898 1.898 -4.111
ATOMIC_POSITIONS crystal
Zn 0.000 0.000 0.000
Zn 0.250 0.750 0.500
Zn 0.750 0.250 0.500
Mo 0.500 0.500 0.000

***

! Zn5Mo4 (PBE, relaxed); values from VASP
! final energy	-5.467	eV/atom
! space group	No. 139
! ρ	8.72	g/cm3
! distance to the lowest polymorph of the same formula	0.000	eV/atom
! calculated volume	135.4	Å³/f.u.
&SYSTEM
  ibrav = 0, nat = 9, ntyp = 2
/
ATOMIC_SPECIES
Zn 65.41 Zn.upf
Mo 95.94 Mo.upf
CELL_PARAMETERS angstrom
-4.510 4.510 1.664
4.510 -4.510 1.664
4.510 4.510 -1.664
ATOMIC_POSITIONS crystal
Zn 0.000 0.000 0.000
Zn 0.331 0.331 0.662
Zn 0.331 0.669 0.000
Zn 0.669 0.331 0.000
Zn 0.669 0.669 0.338
Mo 0.000 0.333 0.333
Mo 0.000 0.667 0.667
Mo 0.333 0.000 0.333
Mo 0.667 0.000 0.667

***

! Zn3Mo (PBE, relaxed); values from VASP
! final energy	-3.648	eV/atom
! space group	No. 194
! ρ	8.36	g/cm3
! calculated volume	58.0	Å³/f.u.
&SYSTEM
  ibrav = 0, nat = 16, ntyp = 2
/
ATOMIC_SPECIES
Zn 65.41 Zn.upf
Mo 95.94 Mo.upf
CELL_PARAMETERS angstrom
5.456 0.000 0.000
-2.728 4.725 0.000
0.000 0.000 9.000
ATOMIC_POSITIONS crystal
Zn 0.000 0.500 0.000
Zn 0.000 0.500 0.500
Zn 0.166 0.332 0.250
Zn 0.166 0.834 0.250
Zn 0.332 0.166 0.750
Zn 0.500 0.000 0.000
Zn 0.500 0.000 0.500
Zn 0.500 0.500 0.000
Zn 0.500 0.500 0.500
Zn 0.668 0.834 0.250
Zn 0.834 0.166 0.750
Zn 0.834 0.668 0.750
Mo 0.000 0.000 0.000
Mo 0.000 0.000 0.500
Mo 0.333 0.667 0.750
Mo 0.667 0.333 0.250

***

! ZnMo2 (PBE, relaxed); values from VASP
! final energy	-6.581	eV/atom
! space group	No. 123
! ρ	8.10	g/cm3
! distance to the lowest polymorph of the same formula	0.996	eV/atom
! calculated volume	52.7	Å³/f.u.
&SYSTEM
  ibrav = 0, nat = 3, ntyp = 2
/
ATOMIC_SPECIES
Zn 65.41 Zn.upf
Mo 95.94 Mo.upf
CELL_PARAMETERS angstrom
4.539 0.000 0.000
0.000 4.539 0.000
0.000 0.000 2.559
ATOMIC_POSITIONS crystal
Zn 0.000 0.000 0.000
Mo 0.000 0.500 0.500
Mo 0.500 0.000 0.500

***

! Zn3Mo (PBE, relaxed); values from VASP
! final energy	-3.537	eV/atom
! space group	No. 166
! ρ	8.00	g/cm3
! calculated volume	60.7	Å³/f.u.
&SYSTEM
  ibrav = 0, nat = 4, ntyp = 2
/
ATOMIC_SPECIES
Zn 65.41 Zn.upf
Mo 95.94 Mo.upf
CELL_PARAMETERS angstrom
1.398 0.807 8.966
-1.398 0.807 8.966
0.000 -1.614 8.966
ATOMIC_POSITIONS crystal
Zn 0.000 0.000 0.000
Zn 0.251 0.251 0.251
Zn 0.749 0.749 0.749
Mo 0.500 0.500 0.500

***

! Zn3Mo (PBE, relaxed); values from VASP
! final energy	-2.445	eV/atom
! space group	No. 221
! ρ	3.57	g/cm3
! calculated volume	135.7	Å³/f.u.
&SYSTEM
  ibrav = 0, nat = 4, ntyp = 2
/
ATOMIC_SPECIES
Zn 65.41 Zn.upf
Mo 95.94 Mo.upf
CELL_PARAMETERS angstrom
5.139 0.000 0.000
0.000 5.139 0.000
0.000 0.000 5.139
ATOMIC_POSITIONS crystal
Zn 0.000 0.000 0.500
Zn 0.000 0.500 0.000
Zn 0.500 0.000 0.000
Mo 0.000 0.000 0.000

***

! ZnMo4 (PBE, relaxed); values from VASP
! final energy	-8.689	eV/atom
! space group	No. 87
! ρ	9.47	g/cm3
! distance to the lowest polymorph of the same formula	0.000	eV/atom
! calculated volume	78.8	Å³/f.u.
&SYSTEM
  ibrav = 0, nat = 5, ntyp = 2
/
ATOMIC_SPECIES
Zn 65.41 Zn.upf
Mo 95.94 Mo.upf
CELL_PARAMETERS angstrom
-2.998 2.998 2.191
2.998 -2.998 2.191
2.998 2.998 -2.191
ATOMIC_POSITIONS crystal
Zn 0.000 0.000 0.000
Mo 0.207 0.593 0.800
Mo 0.407 0.207 0.614
Mo 0.593 0.793 0.386
Mo 0.793 0.407 0.200

***

! Zn5Mo4 (PBE, relaxed); values from VASP
! final energy	-5.192	eV/atom
! space group	No. 193
! ρ	8.74	g/cm3
! distance to the lowest polymorph of the same formula	0.276	eV/atom
! calculated volume	135.1	Å³/f.u.
&SYSTEM
  ibrav = 0, nat = 18, ntyp = 2
/
ATOMIC_SPECIES
Zn 65.41 Zn.upf
Mo 95.94 Mo.upf
CELL_PARAMETERS angstrom
7.724 0.000 0.000
-3.862 6.689 0.000
0.000 0.000 5.230
ATOMIC_POSITIONS crystal
Zn 0.000 0.316 0.250
Zn 0.000 0.684 0.750
Zn 0.316 0.000 0.250
Zn 0.316 0.316 0.750
Zn 0.333 0.667 0.000
Zn 0.333 0.667 0.500
Zn 0.667 0.333 0.000
Zn 0.667 0.333 0.500
Zn 0.684 0.000 0.750
Zn 0.684 0.684 0.250
Mo 0.000 0.000 0.000
Mo 0.000 0.000 0.500
Mo 0.000 0.347 0.750
Mo 0.000 0.653 0.250
Mo 0.347 0.000 0.750
Mo 0.347 0.347 0.250
Mo 0.653 0.000 0.250
Mo 0.653 0.653 0.750

***

! Zn3Mo (PBE, relaxed); values from VASP
! final energy	-3.621	eV/atom
! space group	No. 44
! ρ	8.18	g/cm3
! calculated volume	59.3	Å³/f.u.
&SYSTEM
  ibrav = 0, nat = 4, ntyp = 2
/
ATOMIC_SPECIES
Zn 65.41 Zn.upf
Mo 95.94 Mo.upf
CELL_PARAMETERS angstrom
-1.328 4.502 2.480
1.328 -4.502 2.480
1.328 4.502 -2.480
ATOMIC_POSITIONS crystal
Zn 0.000 0.000 0.000
Zn 0.061 0.311 0.750
Zn 0.562 0.311 0.250
Mo 0.503 0.003 0.500

***

! Zn22Mo (PBE, relaxed); values from VASP
! final energy	-1.652	eV/atom
! space group	No. 227
! ρ	7.46	g/cm3
! calculated volume	341.5	Å³/f.u.
&SYSTEM
  ibrav = 0, nat = 46, ntyp = 2
/
ATOMIC_SPECIES
Zn 65.41 Zn.upf
Mo 95.94 Mo.upf
CELL_PARAMETERS angstrom
0.000 6.990 6.990
6.990 0.000 6.990
6.990 6.990 0.000
ATOMIC_POSITIONS crystal
Zn 0.000 0.000 0.000
Zn 0.000 0.000 0.500
Zn 0.000 0.500 0.000
Zn 0.000 0.500 0.500
Zn 0.016 0.016 0.734
Zn 0.016 0.734 0.016
Zn 0.016 0.734 0.734
Zn 0.182 0.182 0.442
Zn 0.182 0.182 0.695
Zn 0.182 0.442 0.182
Zn 0.182 0.442 0.695
Zn 0.182 0.695 0.182
Zn 0.182 0.695 0.442
Zn 0.266 0.266 0.984
Zn 0.266 0.984 0.266
Zn 0.266 0.984 0.984
Zn 0.305 0.558 0.818
Zn 0.305 0.818 0.558
Zn 0.305 0.818 0.818
Zn 0.442 0.182 0.182
Zn 0.442 0.182 0.695
Zn 0.442 0.695 0.182
Zn 0.500 0.000 0.000
Zn 0.500 0.000 0.500
Zn 0.500 0.500 0.000
Zn 0.500 0.500 0.500
Zn 0.558 0.305 0.818
Zn 0.558 0.818 0.305
Zn 0.558 0.818 0.818
Zn 0.695 0.182 0.182
Zn 0.695 0.182 0.442
Zn 0.695 0.442 0.182
Zn 0.734 0.016 0.016
Zn 0.734 0.016 0.734
Zn 0.734 0.734 0.016
Zn 0.818 0.305 0.558
Zn 0.818 0.305 0.818
Zn 0.818 0.558 0.305
Zn 0.818 0.558 0.818
Zn 0.818 0.818 0.305
Zn 0.818 0.818 0.558
Zn 0.984 0.266 0.266
Zn 0.984 0.266 0.984
Zn 0.984 0.984 0.266
Mo 0.375 0.375 0.375
Mo 0.625 0.625 0.625

***

! ZnMo2 (PBE, relaxed); values from VASP
! final energy	-6.668	eV/atom
! space group	No. 225
! ρ	8.31	g/cm3
! distance to the lowest polymorph of the same formula	0.908	eV/atom
! calculated volume	51.4	Å³/f.u.
&SYSTEM
  ibrav = 0, nat = 3, ntyp = 2
/
ATOMIC_SPECIES
Zn 65.41 Zn.upf
Mo 95.94 Mo.upf
CELL_PARAMETERS angstrom
0.000 2.951 2.951
2.951 0.000 2.951
2.951 2.951 0.000
ATOMIC_POSITIONS crystal
Zn 0.000 0.000 0.000
Mo 0.250 0.250 0.250
Mo 0.750 0.750 0.750

***

! Zn3Mo (PBE, relaxed); values from VASP
! final energy	-3.589	eV/atom
! space group	No. 65
! ρ	8.14	g/cm3
! calculated volume	59.6	Å³/f.u.
&SYSTEM
  ibrav = 0, nat = 4, ntyp = 2
/
ATOMIC_SPECIES
Zn 65.41 Zn.upf
Mo 95.94 Mo.upf
CELL_PARAMETERS angstrom
1.737 -2.045 0.000
1.737 2.045 0.000
0.000 0.000 8.385
ATOMIC_POSITIONS crystal
Zn 0.000 0.000 0.000
Zn 0.500 0.500 0.249
Zn 0.500 0.500 0.751
Mo 0.000 0.000 0.500

***

! Zn3Mo (PBE, relaxed); values from VASP
! final energy	-3.587	eV/atom
! space group	No. 139
! ρ	8.26	g/cm3
! calculated volume	58.7	Å³/f.u.
&SYSTEM
  ibrav = 0, nat = 8, ntyp = 2
/
ATOMIC_SPECIES
Zn 65.41 Zn.upf
Mo 95.94 Mo.upf
CELL_PARAMETERS angstrom
-1.902 1.902 8.119
1.902 -1.902 8.119
1.902 1.902 -8.119
ATOMIC_POSITIONS crystal
Zn 0.000 0.500 0.500
Zn 0.131 0.131 0.000
Zn 0.250 0.750 0.500
Zn 0.500 0.000 0.500
Zn 0.750 0.250 0.500
Zn 0.869 0.869 0.000
Mo 0.384 0.384 0.000
Mo 0.616 0.616 0.000

***

! ZnMo2 (PBE, relaxed); values from VASP
! final energy	-7.511	eV/atom
! space group	No. 141
! ρ	9.31	g/cm3
! distance to the lowest polymorph of the same formula	0.065	eV/atom
! calculated volume	45.9	Å³/f.u.
&SYSTEM
  ibrav = 0, nat = 12, ntyp = 2
/
ATOMIC_SPECIES
Zn 65.41 Zn.upf
Mo 95.94 Mo.upf
CELL_PARAMETERS angstrom
-2.141 2.141 10.013
2.141 -2.141 10.013
2.141 2.141 -10.013
ATOMIC_POSITIONS crystal
Zn 0.289 0.539 0.750
Zn 0.461 0.711 0.750
Zn 0.539 0.289 0.250
Zn 0.711 0.461 0.250
Mo 0.045 0.795 0.250
Mo 0.124 0.374 0.750
Mo 0.205 0.955 0.250
Mo 0.374 0.124 0.250
Mo 0.626 0.876 0.750
Mo 0.795 0.045 0.750
Mo 0.876 0.626 0.250
Mo 0.955 0.205 0.750

***

! ZnMo2 (PBE, relaxed); values from VASP
! final energy	-7.382	eV/atom
! space group	No. 140
! ρ	9.27	g/cm3
! distance to the lowest polymorph of the same formula	0.194	eV/atom
! calculated volume	46.1	Å³/f.u.
&SYSTEM
  ibrav = 0, nat = 6, ntyp = 2
/
ATOMIC_SPECIES
Zn 65.41 Zn.upf
Mo 95.94 Mo.upf
CELL_PARAMETERS angstrom
-3.026 3.026 2.517
3.026 -3.026 2.517
3.026 3.026 -2.517
ATOMIC_POSITIONS crystal
Zn 0.250 0.250 0.000
Zn 0.750 0.750 0.000
Mo 0.143 0.643 0.787
Mo 0.357 0.143 0.500
Mo 0.643 0.857 0.500
Mo 0.857 0.357 0.213

***

! ZnMo2 (PBE, relaxed); values from VASP
! final energy	-7.493	eV/atom
! space group	No. 63
! ρ	9.22	g/cm3
! distance to the lowest polymorph of the same formula	0.083	eV/atom
! calculated volume	46.3	Å³/f.u.
&SYSTEM
  ibrav = 0, nat = 6, ntyp = 2
/
ATOMIC_SPECIES
Zn 65.41 Zn.upf
Mo 95.94 Mo.upf
CELL_PARAMETERS angstrom
1.315 -7.632 0.000
1.315 7.632 0.000
0.000 0.000 4.614
ATOMIC_POSITIONS crystal
Zn 0.116 0.884 0.750
Zn 0.884 0.116 0.250
Mo 0.215 0.785 0.250
Mo 0.452 0.548 0.750
Mo 0.548 0.452 0.250
Mo 0.785 0.215 0.750

***

! Zn3Mo (PBE, relaxed); values from VASP
! final energy	-3.568	eV/atom
! space group	No. 187
! ρ	8.03	g/cm3
! calculated volume	60.4	Å³/f.u.
&SYSTEM
  ibrav = 0, nat = 4, ntyp = 2
/
ATOMIC_SPECIES
Zn 65.41 Zn.upf
Mo 95.94 Mo.upf
CELL_PARAMETERS angstrom
2.794 0.000 0.000
-1.397 2.420 0.000
0.000 0.000 8.936
ATOMIC_POSITIONS crystal
Zn 0.000 0.000 0.000
Zn 0.333 0.667 0.247
Zn 0.333 0.667 0.753
Mo 0.000 0.000 0.500

***

! ZnMo2 (PBE, relaxed); values from VASP
! final energy	-7.576	eV/atom
! space group	No. 164
! ρ	9.25	g/cm3
! distance to the lowest polymorph of the same formula	0.000	eV/atom
! calculated volume	46.2	Å³/f.u.
&SYSTEM
  ibrav = 0, nat = 3, ntyp = 2
/
ATOMIC_SPECIES
Zn 65.41 Zn.upf
Mo 95.94 Mo.upf
CELL_PARAMETERS angstrom
4.471 0.000 0.000
-2.235 3.872 0.000
0.000 0.000 2.669
ATOMIC_POSITIONS crystal
Zn 0.000 0.000 0.000
Mo 0.333 0.667 0.368
Mo 0.667 0.333 0.632

***

! ZnMo2 (PBE, relaxed); values from VASP
! final energy	-7.388	eV/atom
! space group	No. 63
! ρ	9.09	g/cm3
! distance to the lowest polymorph of the same formula	0.188	eV/atom
! calculated volume	47.0	Å³/f.u.
&SYSTEM
  ibrav = 0, nat = 6, ntyp = 2
/
ATOMIC_SPECIES
Zn 65.41 Zn.upf
Mo 95.94 Mo.upf
CELL_PARAMETERS angstrom
1.302 -7.709 0.000
1.302 7.709 0.000
0.000 0.000 4.681
ATOMIC_POSITIONS crystal
Zn 0.219 0.781 0.750
Zn 0.781 0.219 0.250
Mo 0.117 0.883 0.250
Mo 0.449 0.551 0.250
Mo 0.551 0.449 0.750
Mo 0.883 0.117 0.750

***

! ZnMo8 (PBE, relaxed); values from VASP
! final energy	-9.501	eV/atom
! space group	No. 139
! ρ	9.71	g/cm3
! calculated volume	142.5	Å³/f.u.
&SYSTEM
  ibrav = 0, nat = 9, ntyp = 2
/
ATOMIC_SPECIES
Zn 65.41 Zn.upf
Mo 95.94 Mo.upf
CELL_PARAMETERS angstrom
-4.043 4.043 2.180
4.043 -4.043 2.180
4.043 4.043 -2.180
ATOMIC_POSITIONS crystal
Zn 0.000 0.000 0.000
Mo 0.000 0.329 0.329
Mo 0.000 0.671 0.671
Mo 0.329 0.000 0.329
Mo 0.339 0.339 0.678
Mo 0.339 0.661 0.000
Mo 0.661 0.339 0.000
Mo 0.661 0.661 0.322
Mo 0.671 0.000 0.671